[1]
HoAlPdRu: optimized geometry, PBE.

Calculated values
**Density**: 9718 kg/m3
**Final energy**: -6.35 eV/atom

Unit cell a=6.487 b=6.487 c=6.487 alpha=90.00 beta=90.00 gamma=90.00
Space group F-43m (No. 216)
Unique sites:
Ho  0.000  0.000  0.000
Al  0.000  0.000  0.500
Pd  0.250  0.250  0.250
Ru  0.250  0.250  0.750


[2]
Ho2ScAl2Pd5: optimized geometry, PBE.

Calculated values
**Density**: 8657 kg/m3
**Final energy**: -5.76 eV/atom

Unit cell a=10.037 b=10.037 c=3.659 alpha=90.00 beta=90.00 gamma=90.00
Space group P4/mbm (No. 127)
Unique sites:
Ho  0.176  0.324  0.000
Sc  0.000  0.000  0.000
Al  0.122  0.622  0.000
Pd  0.000  0.500  0.500
Pd  0.065  0.790  0.500


[3]
SmHoAlPd: optimized geometry, PBE.

Calculated values
**Density**: 7694 kg/m3
**Relative energy among the computed polymorphs**: 0.000 eV/atom

Unit cell a=4.497 b=3.820 c=11.276 alpha=90.00 beta=90.00 gamma=90.00
Space group Amm2 (No. 38)
Unique sites:
Sm  0.000  0.000  0.000
Ho  0.500  0.000  0.290
Al  0.000  0.000  0.720
Pd  0.500  0.000  0.582